# Na3LiMo2H12O14, relaxed, DFT GGA+U
data_Na3LiMo2H12O14
_symmetry_space_group_name_H-M 'R 3 c'
_symmetry_Int_Tables_number 161
_symmetry_space_group_name_Hall 'R 3 -2"c'
_cell_length_a 8.8338
_cell_length_b 8.8338
_cell_length_c 31.4112
_cell_angle_alpha 90.00
_cell_angle_beta 90.00
_cell_angle_gamma 120.00
loop_
_atom_site_label
_atom_site_fract_x
_atom_site_fract_y
_atom_site_fract_z
Na1 0.0363 0.2621 0.0000
Li1 0.0000 0.0000 0.2634
Mo1 0.0000 0.0000 0.1454
Mo2 0.0000 0.0000 0.3992
H1 0.0138 0.3383 0.8710
H2 0.0479 0.4517 0.4558
H3 0.1138 0.3590 0.4237
H4 0.1360 0.4345 0.2367
O1 0.0000 0.0000 0.2016
O2 0.0000 0.0000 0.4561
O3 0.0734 0.2198 0.3808
O4 0.1134 0.4165 0.2056
O5 0.1486 0.4345 0.4496
O6 0.1650 0.4566 0.2925
# theoretical density: 2.365 Mg/m³
# volume: 11.06 Å³/atom
# crystal system: trigonal
# energy: -174.8 eV per formula unit
# density of states at the Fermi level: 0.000 states/eV/cell